The following is a DFT calculation (PBE with a Hubbard U) of a relaxed structure of Co2GeIF.

Results
Total magnetic moment ... 0.83 μB/atom
E ... -16.732 eV for the cell shown
V ... 21.09 Å³ per atom

Cell: 4.1987 4.1987 5.9827 Å, 90.00 90.00 90.00°
Space group P4/mmm (No. 123)
Unique sites:
1 Co 0.0000 0.5000 0.0000 (multiplicity 2)
2 Ge 0.0000 0.0000 0.5000 (multiplicity 1)
3 I 0.5000 0.5000 0.5000 (multiplicity 1)
4 F 0.5000 0.5000 0.0000 (multiplicity 1)